# 1
A plane-wave DFT calculation with PBE-GGA was carried out for a relaxed structure of MgSnHO.

Symmetry: Pm, No. 6
Polymorph energy (0 for the lowest one) (meV/atom): 79
DOS at the Fermi energy (states/eV/f.u.): 0.721

abc: 2.9783 3.0289 6.7102
angles: 90.00 102.49 90.00
With the nearest neighbours (Å) after each atom.
Positions (direct):
Mg 0.0000 0.0000 0.0000  4 O 2.20
Sn 0.7220 0.0000 0.4226  4 Sn 2.98-3.03, 4 H 3.06-3.08, 2 Mg 3.12-3.17
H 0.3800 0.5000 0.7604  1 O 1.00
O 0.4560 0.5000 0.9132  1 H 1.00


# 2
A plane-wave DFT calculation with PBE-GGA was carried out for a relaxed structure of CaMg2GaNi2.

Formation enthalpy at 0 K (meV/atom): -123
Symmetry: P4/mmm, No. 123
DOS at the Fermi energy (states/eV/f.u.): 4.766

abc: 4.5315 4.5315 5.9924
angles: 90.00 90.00 90.00
With the nearest neighbours (Å) after each atom.
Positions (direct):
Ca 0.0000 0.0000 0.0000  2 Ga 3.00
Mg 0.5000 0.5000 0.2598  4 Ni 2.68, 1 Mg 2.88
Mg 0.5000 0.5000 0.7402  4 Ni 2.68, 1 Mg 2.88
Ga 0.0000 0.0000 0.5000  4 Ni 2.27
Ni 0.0000 0.5000 0.5000  2 Ga 2.27
Ni 0.5000 0.0000 0.5000  2 Ga 2.27


# 3
A plane-wave DFT calculation with PBE-GGA was carried out for a relaxed structure of K2Y.

Formation enthalpy at 0 K (meV/atom): 523
Symmetry: Pnma, No. 62
DOS at the Fermi energy (states/eV/f.u.): 3.180

abc: 8.3747 6.1076 12.4773
angles: 90.00 90.00 90.00
With the nearest neighbours (Å) after each atom.
Positions (direct):
K 0.0940 0.2500 0.1047  2 Y 4.03-4.48, 7 K 4.09-4.32
K 0.2118 0.2500 0.7790  7 K 4.09-4.25, 4 Y 4.13-4.36
K 0.2882 0.7500 0.2790  7 K 4.09-4.25, 4 Y 4.13-4.36
K 0.4060 0.7500 0.6047  2 Y 4.03-4.48, 7 K 4.09-4.32
K 0.5940 0.2500 0.3953  2 Y 4.03-4.48, 7 K 4.09-4.32
K 0.7118 0.2500 0.7210  7 K 4.09-4.25, 4 Y 4.13-4.36
K 0.7882 0.7500 0.2210  7 K 4.09-4.25, 4 Y 4.13-4.36
K 0.9060 0.7500 0.8953  2 Y 4.03-4.48, 7 K 4.09-4.32
Y 0.0639 0.2500 0.4632  2 Y 3.36
Y 0.4361 0.7500 0.9632  2 Y 3.36
Y 0.5639 0.2500 0.0368  2 Y 3.36
Y 0.9361 0.7500 0.5368  2 Y 3.36


Number 1: total magnetic moment 0.00 μB/cell. Number 2: total magnetic moment 0.00 μB/cell. Number 3: total magnetic moment 4.71 μB/cell.